This record from the Alexandria database describes a geometry-optimized CrRe2Hg structure. The functional is GGA-PBE.

Unit cell a=9.4479 b=2.8544 c=4.7451 alpha=90.00 beta=104.10 gamma=90.00
Closest atoms and distances in Å follow each position.
Space group C2/m (No. 12)
Unique sites:
Cr  0.0000  0.0000  0.0000 (multiplicity 2)  4 Re 2.60, 4 Hg 2.77, 2 Cr 2.85
Re  0.2298  0.5000  0.2197 (multiplicity 4)  2 Cr 2.60, 4 Re 2.63-2.85, 1 Hg 2.81
Hg  0.0000  0.5000  0.5000 (multiplicity 2)  4 Cr 2.77, 6 Re 2.81-2.94, 2 Hg 2.85

Results
Energy relative to the elements ... 0.55 eV per atom
Raw total energy ... -65.3 eV/cell
Crystal system ... monoclinic